The following is a GGA+U calculation of a relaxed VHg2ClO crystal, from the Alexandria database. Values from VASP.

Results
* spin magnetization: 0.5 μB/cell
* DFT total energy: -11.89 eV per cell
* DOS at the Fermi energy: 0.41 states/eV per atom

```
&SYSTEM
  ibrav = 0, nat = 5, ntyp = 4
/
ATOMIC_SPECIES
V 50.94 V.upf
Hg 200.59 Hg.upf
Cl 35.45 Cl.upf
O 16.00 O.upf
CELL_PARAMETERS angstrom
4.411 0.000 0.000
0.000 4.411 0.000
0.000 0.000 6.434
ATOMIC_POSITIONS crystal
V 0.000 0.000 0.000
Hg 0.000 0.500 0.500
Hg 0.500 0.000 0.500
Cl 0.500 0.500 0.000
O 0.500 0.500 0.500
```